a | Below is a geometry-optimized Tb2Pm structure, with properties calculated at the PBE-GGA level.

Summary:
Calculated volume = 814 Å³/cell

Unit cell a=9.3383 b=9.3383 c=9.3383 alpha=90.00 beta=90.00 gamma=90.00
Space group Fd-3m (No. 227, origin choice 2)
One atom of each set of equivalent atoms:
Tb 0.0000 0.0000 0.0000 (multiplicity 16)
Pm 0.1250 0.1250 0.6250 (multiplicity 8)

***

b | Below is a geometry-optimized Tb2Pm structure, with properties calculated at the PBE-GGA level.

Summary:
Calculated volume = 2000 Å³/cell

Unit cell a=12.5990 b=12.5990 c=12.5990 alpha=90.00 beta=90.00 gamma=90.00
Space group Fd-3m (No. 227, origin choice 2)
One atom of each set of equivalent atoms:
Tb 0.0000 0.0000 0.0000 (multiplicity 16)
Pm 0.1250 0.1250 0.1250 (multiplicity 8)

***

Which structure is most stable, and how do the rest compare? From most to least stable: a, b.

***

a | Below is a geometry-optimized PmTc structure, with properties calculated at the PBE-GGA level.

Summary:
Calculated volume = 44 Å³/cell

Unit cell a=3.4278 b=3.4278 c=4.3424 alpha=90.00 beta=90.00 gamma=120.00
Space group P-6m2 (No. 187)
One atom of each set of equivalent atoms:
Pm 0.0000 0.0000 0.0000 (multiplicity 1)
Tc 0.6667 0.3333 0.5000 (multiplicity 1)

***

b | Below is a geometry-optimized PmTc structure, with properties calculated at the PBE-GGA level.

Summary:
Calculated volume = 196 Å³/cell

Unit cell a=5.8077 b=5.8077 c=5.8077 alpha=90.00 beta=90.00 gamma=90.00
Space group Fm-3m (No. 225)
One atom of each set of equivalent atoms:
Pm 0.0000 0.0000 0.0000 (multiplicity 4)
Tc 0.0000 0.0000 0.5000 (multiplicity 4)

***

c | Below is a geometry-optimized PmTc structure, with properties calculated at the PBE-GGA level.

Summary:
Calculated volume = 101 Å³/cell

Unit cell a=4.9629 b=4.9629 c=4.7456 alpha=90.00 beta=90.00 gamma=120.00
Space group P6_3/mmc (No. 194)
One atom of each set of equivalent atoms:
Pm 0.3333 0.6667 0.2500 (multiplicity 2)
Tc 0.0000 0.0000 0.0000 (multiplicity 2)

***

Which structure is most stable, and how do the rest compare? From most to least stable: c, a, b.

***

a | Below is a geometry-optimized PmTc structure, with properties calculated at the PBE-GGA level.

Summary:
Calculated volume = 85 Å³/cell

Unit cell a=3.6610 b=3.6610 c=7.2949 alpha=90.00 beta=90.00 gamma=120.00
Space group P6_3/mmc (No. 194)
One atom of each set of equivalent atoms:
Pm 0.0000 0.0000 0.0000 (multiplicity 2)
Tc 0.3333 0.6667 0.2500 (multiplicity 2)

***

b | Below is a geometry-optimized PmTc structure, with properties calculated at the PBE-GGA level.

Summary:
Calculated volume = 232 Å³/cell

Unit cell a=6.1434 b=6.1434 c=6.1434 alpha=90.00 beta=90.00 gamma=90.00
Space group F-43m (No. 216)
One atom of each set of equivalent atoms:
Pm 0.0000 0.0000 0.0000 (multiplicity 4)
Tc 0.2500 0.2500 0.7500 (multiplicity 4)

***

Which structure is most stable, and how do the rest compare? From most to least stable: a, b.

***

a | Below is a geometry-optimized PmZnTc structure, with properties calculated at the PBE-GGA level.

Summary:
Calculated volume = 264 Å³/cell

Unit cell a=6.4128 b=6.4128 c=6.4128 alpha=90.00 beta=90.00 gamma=90.00
Space group F-43m (No. 216)
One atom of each set of equivalent atoms:
Pm 0.0000 0.0000 0.0000 (multiplicity 4)
Zn 0.2500 0.2500 0.2500 (multiplicity 4)
Tc 0.0000 0.0000 0.5000 (multiplicity 4)

***

b | Below is a geometry-optimized PmZnTc structure, with properties calculated at the PBE-GGA level.

Summary:
Calculated volume = 299 Å³/cell

Unit cell a=6.6839 b=6.6839 c=6.6839 alpha=90.00 beta=90.00 gamma=90.00
Space group F-43m (No. 216)
One atom of each set of equivalent atoms:
Pm 0.0000 0.0000 0.0000 (multiplicity 4)
Zn 0.2500 0.2500 0.2500 (multiplicity 4)
Tc 0.2500 0.2500 0.7500 (multiplicity 4)

***

Which structure is most stable, and how do the rest compare? From most to least stable: a, b.

***

a | Below is a geometry-optimized PmTe structure, with properties calculated at the PBE-GGA level.

Summary:
Calculated volume = 189 Å³/cell

Unit cell a=4.4367 b=4.4367 c=11.0622 alpha=90.00 beta=90.00 gamma=120.00
Space group R-3m (No. 166, hexagonal axes)
One atom of each set of equivalent atoms:
Pm 0.0000 0.0000 0.0000 (multiplicity 3)
Te 0.0000 0.0000 0.5000 (multiplicity 3)

***

b | Below is a geometry-optimized PmTe structure, with properties calculated at the PBE-GGA level.

Summary:
Calculated volume = 346 Å³/cell

Unit cell a=7.0209 b=7.0209 c=7.0209 alpha=90.00 beta=90.00 gamma=90.00
Space group F-43m (No. 216)
One atom of each set of equivalent atoms:
Pm 0.0000 0.0000 0.0000 (multiplicity 4)
Te 0.2500 0.2500 0.7500 (multiplicity 4)

***

Which structure is most stable, and how do the rest compare? From most to least stable: a, b.

***

a | Below is a geometry-optimized PmTe structure, with properties calculated at the PBE-GGA level.

Summary:
Calculated volume = 63 Å³/cell

Unit cell a=4.1784 b=4.1784 c=4.1914 alpha=90.00 beta=90.00 gamma=120.00
Space group P-6m2 (No. 187)
One atom of each set of equivalent atoms:
Pm 0.0000 0.0000 0.0000 (multiplicity 1)
Te 0.6667 0.3333 0.5000 (multiplicity 1)

***

b | Below is a geometry-optimized PmTe structure, with properties calculated at the PBE-GGA level.

Summary:
Calculated volume = 251 Å³/cell

Unit cell a=6.3114 b=6.3114 c=6.3114 alpha=90.00 beta=90.00 gamma=90.00
Space group Fm-3m (No. 225)
One atom of each set of equivalent atoms:
Pm 0.0000 0.0000 0.0000 (multiplicity 4)
Te 0.0000 0.0000 0.5000 (multiplicity 4)

***

Which structure is most stable, and how do the rest compare? From most to least stable: b, a.